Record 1
## Re5C (PBE-GGA)

Data for a relaxed structure of Re5C.

It has space group P6/mmm (No. 191), with a = 4.9268 Å, b = 4.9268 Å, c = 4.6948 Å, α = 90.00°, β = 90.00° and γ = 120.00°. The asymmetric unit holds Re at (0.0000, 0.5000, 0.0000), Re at (0.3333, 0.6667, 0.5000) and C at (0.0000, 0.0000, 0.5000).

As for the density: 15.87 g cm⁻³. As for the electronic total energy: -61.45 eV/f.u.


Record 2
## Re2C (PBE-GGA)

Data for a relaxed structure of Re2C.

It has space group Fd-3m (No. 227, origin choice 2), with a = 7.1750 Å, b = 7.1750 Å, c = 7.1750 Å, α = 90.00°, β = 90.00° and γ = 90.00°. The asymmetric unit holds Re at (0.0000, 0.0000, 0.0000) and C at (0.1250, 0.1250, 0.6250).

As for the density: 13.83 g cm⁻³. The value obtained for the polymorph energy (0 for the lowest one) is 1.467 eV/atom. As for the electronic total energy: -26.08 eV/f.u.


Record 3
## ReCS (PBE-GGA)

Data for a relaxed structure of ReCS.

It has space group Cmc2_1 (No. 36), with a = 2.9934 Å, b = 9.6146 Å, c = 5.5436 Å, α = 90.00°, β = 90.00° and γ = 90.00°. The asymmetric unit holds Re at (0.0000, 0.1668, 0.0000), C at (0.0000, 0.1953, 0.3660) and S at (0.0000, 0.0665, 0.5902).

As for the density: 9.59 g cm⁻³. As for the electronic total energy: -23.67 eV/f.u.


Record 4
## Re2TeCS (PBE-GGA)

Data for a relaxed structure of Re2TeCS.

It has space group P3m1 (No. 156), with a = 3.3891 Å, b = 3.3891 Å, c = 9.1775 Å, α = 90.00°, β = 90.00° and γ = 120.00°. The asymmetric unit holds Re at (0.0000, 0.0000, 0.0000), Re at (0.3333, 0.6667, 0.2171), Te at (0.0000, 0.0000, 0.4449), C at (0.6667, 0.3333, 0.1623) and S at (0.3333, 0.6667, 0.8494).

As for the density: 9.90 g cm⁻³. As for the electronic total energy: -40.41 eV/f.u.


Record 5
## Sc3ReC4 (PBE-GGA)

Data for a relaxed structure of Sc3ReC4.

It has space group Immm (No. 71), with a = 3.3407 Å, b = 4.4926 Å, c = 12.4376 Å, α = 90.00°, β = 90.00° and γ = 90.00°. The asymmetric unit holds Sc at (0.0000, 0.0000, 0.0000), Sc at (0.0000, 0.5000, 0.1922), Re at (0.0000, 0.0000, 0.5000) and C at (0.0000, 0.3384, 0.3729).

As for the density: 6.57 g cm⁻³. As for the electronic total energy: -71.64 eV/f.u.


Record 6
## Y2ScReC6 (PBE-GGA)

Data for a relaxed structure of Y2ScReC6.

It has space group P4/mmm (No. 123), with a = 4.1146 Å, b = 4.1146 Å, c = 9.3809 Å, α = 90.00°, β = 90.00° and γ = 90.00°. The asymmetric unit holds Y at (0.0000, 0.0000, 0.2481), Sc at (0.5000, 0.5000, 0.0000), Re at (0.5000, 0.5000, 0.5000), C at (0.0000, 0.0000, 0.0000), C at (0.0000, 0.0000, 0.5000) and C at (0.0000, 0.5000, 0.0735).

As for the density: 5.03 g cm⁻³. As for the electronic total energy: -73.81 eV/f.u.


Number 1: V 16.45 A^3/atom, total moment 0.003 μB/cell. Number 2: V 15.39 A^3/atom, total moment 0.015 μB/cell. Number 3: V 13.30 A^3/atom, total moment 0.104 μB/cell. Number 4: V 18.26 A^3/atom, total moment 0.015 μB/cell. Number 5: V 11.67 A^3/atom, total moment 0.010 μB/cell. Number 6: V 15.88 A^3/atom, total moment 3.104 μB/cell.